Here is a geometry-optimized SbIrSeN2 structure from Alexandria via LeMat-Bulk. Energies are from GGA-PBE.

Results
space-group type: P4/mmm (123)
energy above the lowest structure with this stoichiometry: 46 meV/atom
energy relative to the elements, uncorrected: 4.60 eV/f.u.

Cell: 3.8983 3.8983 5.5548 Å, 90.00 90.00 90.00°
Atoms (fractional coordinates):
Sb 0.0000 0.0000 0.0000
Ir 0.5000 0.5000 0.5000
Se 0.5000 0.5000 0.0000
N 0.0000 0.5000 0.5000
N 0.5000 0.0000 0.5000

---

Here is a geometry-optimized Pr3Nd2Te8 structure from Alexandria via LeMat-Bulk. Energies are from GGA-PBE.

Results
space-group type: C2/m (12)
energy relative to the elements, uncorrected: -16.62 eV/f.u.

Cell: 9.1055 9.1055 7.7612 Å, 106.47 106.47 59.55°
Atoms (fractional coordinates):
Pr 0.0000 0.0000 0.0000
Pr 0.2597 0.7403 0.5000
Pr 0.7403 0.2597 0.5000
Nd 0.2520 0.2520 0.8351
Nd 0.7480 0.7480 0.1649
Te 0.1221 0.1221 0.4211
Te 0.1224 0.6308 0.0846
Te 0.3692 0.8776 0.9154
Te 0.3791 0.3791 0.5976
Te 0.6209 0.6209 0.4024
Te 0.6308 0.1224 0.0846
Te 0.8776 0.3692 0.9154
Te 0.8779 0.8779 0.5789

---

Here is a geometry-optimized KZnAg2 structure from Alexandria via LeMat-Bulk. Energies are from GGA-PBE.

Results
space-group type: Imm2 (44)
formation energy: 0.205 eV per atom

Cell: 4.7435 5.7803 7.5403 Å, 90.00 90.00 90.00°
Atoms (fractional coordinates):
K 0.0000 0.0000 0.0000
K 0.5000 0.5000 0.5000
Zn 0.0000 0.5000 0.1836
Zn 0.5000 0.0000 0.6836
Ag 0.0000 0.0000 0.5210
Ag 0.0000 0.5000 0.8073
Ag 0.5000 0.0000 0.3073
Ag 0.5000 0.5000 0.0210

---

Going through the records in order, we get final energy values of -5.704; -5.048; -1.813 eV/atom.
Going through the records in order, we get total magnetic moment values of 0.52; 0.00; 0.00 Bohr magnetons per cell.
Going through the records in order, we get Fermi-level density of states values of 4.0; 7.3; 2.5 states/eV/cell.